A:
First-principles (PBE) data for a relaxed structure of YCIO2, as listed in Alexandria via LeMat-Bulk.

## Properties
V ... 14.939 Å³/atom
Mass density ... 5.78 Mg/m³

Cell: 4.2092 4.2092 4.2160 Å, 90.00 90.00 90.00°
Sites, in units of the cell vectors:
Y  0.0000  0.0000  0.0000
C  0.5000  0.5000  0.5000
I  0.5000  0.5000  0.0000
O  0.0000  0.5000  0.5000
O  0.5000  0.0000  0.5000


B:
First-principles (PBE) data for a relaxed structure of YCIO2, as listed in Alexandria via LeMat-Bulk.

## Properties
V ... 23.998 Å³/atom
Mass density ... 3.60 Mg/m³

Cell: 4.1760 4.1760 6.8807 Å, 90.00 90.00 90.00°
Sites, in units of the cell vectors:
Y  0.0000  0.0000  0.0000
C  0.5000  0.5000  0.5000
I  0.0000  0.0000  0.5000
O  0.0000  0.5000  0.0000
O  0.5000  0.0000  0.0000


The winner here is B, beating the second structure by 3.9 kJ/mol of atoms.


A:
First-principles (PBE) data for a relaxed structure of ZrCIO2, as listed in Alexandria via LeMat-Bulk.

## Properties
V ... 20.953 Å³/atom
Mass density ... 4.15 Mg/m³

Cell: 4.0184 4.0184 6.4879 Å, 90.00 90.00 90.00°
Sites, in units of the cell vectors:
Zr  0.0000  0.0000  0.0000
C  0.5000  0.5000  0.5000
I  0.0000  0.0000  0.5000
O  0.0000  0.5000  0.0000
O  0.5000  0.0000  0.0000


B:
First-principles (PBE) data for a relaxed structure of ZrCIO2, as listed in Alexandria via LeMat-Bulk.

## Properties
V ... 13.940 Å³/atom
Mass density ... 6.25 Mg/m³

Cell: 4.0513 4.0513 4.2465 Å, 90.00 90.00 90.00°
Sites, in units of the cell vectors:
Zr  0.0000  0.0000  0.0000
C  0.5000  0.5000  0.5000
I  0.5000  0.5000  0.0000
O  0.0000  0.5000  0.5000
O  0.5000  0.0000  0.5000


The winner here is A, beating the second structure by 101.0 kJ/mol of atoms.


A:
First-principles (PBE) data for a relaxed structure of Os2CI, as listed in Alexandria via LeMat-Bulk.

## Properties
V ... 14.591 Å³/atom
Mass density ... 14.78 Mg/m³

Cell: 6.1575 6.1575 6.1575 Å, 90.00 90.00 90.00°
Sites, in units of the cell vectors:
Os  0.2500  0.2500  0.2500
Os  0.2500  0.2500  0.7500
Os  0.2500  0.7500  0.2500
Os  0.2500  0.7500  0.7500
Os  0.7500  0.2500  0.2500
Os  0.7500  0.2500  0.7500
Os  0.7500  0.7500  0.2500
Os  0.7500  0.7500  0.7500
C  0.0000  0.0000  0.0000
C  0.0000  0.5000  0.5000
C  0.5000  0.0000  0.5000
C  0.5000  0.5000  0.0000
I  0.0000  0.0000  0.5000
I  0.0000  0.5000  0.0000
I  0.5000  0.0000  0.0000
I  0.5000  0.5000  0.5000


B:
First-principles (PBE) data for a relaxed structure of Os2CI, as listed in Alexandria via LeMat-Bulk.

## Properties
V ... 17.692 Å³/atom
Mass density ... 12.19 Mg/m³

Cell: 5.1163 5.1163 10.8135 Å, 90.00 90.00 90.00°
Sites, in units of the cell vectors:
Os  0.1411  0.2500  0.1250
Os  0.2500  0.6411  0.3750
Os  0.2500  0.8589  0.8750
Os  0.3589  0.2500  0.6250
Os  0.6411  0.7500  0.6250
Os  0.7500  0.1411  0.8750
Os  0.7500  0.3589  0.3750
Os  0.8589  0.7500  0.1250
C  0.0000  0.0000  0.0000
C  0.0000  0.5000  0.2500
C  0.5000  0.0000  0.7500
C  0.5000  0.5000  0.5000
I  0.0000  0.0000  0.5000
I  0.0000  0.5000  0.7500
I  0.5000  0.0000  0.2500
I  0.5000  0.5000  0.0000


The winner here is B, beating the second structure by 106.6 kJ/mol of atoms.


A:
First-principles (PBE) data for a relaxed structure of Te2OsCI, as listed in Alexandria via LeMat-Bulk.

## Properties
V ... 30.180 Å³/atom
Mass density ... 6.43 Mg/m³

Cell: 5.1105 5.1105 5.7779 Å, 90.00 90.00 90.00°
Sites, in units of the cell vectors:
Te  0.0000  0.5000  0.0000
Te  0.5000  0.0000  0.0000
Os  0.0000  0.0000  0.0000
C  0.5000  0.5000  0.5000
I  0.0000  0.0000  0.5000


B:
First-principles (PBE) data for a relaxed structure of Te2OsCI, as listed in Alexandria via LeMat-Bulk.

## Properties
V ... 20.139 Å³/atom
Mass density ... 9.64 Mg/m³

Cell: 4.6374 4.6374 4.6825 Å, 90.00 90.00 90.00°
Sites, in units of the cell vectors:
Te  0.0000  0.5000  0.0000
Te  0.5000  0.0000  0.0000
Os  0.0000  0.0000  0.5000
C  0.5000  0.5000  0.0000
I  0.5000  0.5000  0.5000


The winner here is B, beating the second structure by 12.1 kJ/mol of atoms.